Material: NdGdSnAu
Method: DFT, PBE-GGA
State: optimized geometry

Properties
magnetic moment = 7.91 μB per cell
ΔH_f (0 K) = -0.733 eV/atom

a = 5.327 Å, b = 5.327 Å, c = 5.327 Å
α = 60.00°, β = 60.00°, γ = 60.00°
Element x y z (fractional)
Nd (0.500, 0.500, 0.500)
Gd (0.000, 0.000, 0.000)
Au (0.750, 0.750, 0.750)
Sn (0.250, 0.250, 0.250)